[1]
Computed, not measured: Cu2P2Au after structural relaxation at the PBE level of DFT.

Properties
Distance to the lowest polymorph of the same formula = 34 kJ/mol of formula units
ΔH_f (0 K) = 265.0 meV/atom
V = 14.89 Å³/atom

Cell: 7.1771 7.1771 2.8906 Å, 90.00 90.00 90.00°
With the nearest neighbours (Å) after each atom.
Space group P4/mbm (No. 127)
Unique sites:
Cu1 0.1249 0.3751 0.0000 x4  6 P 2.45-2.65, 1 Cu 2.54
P1 0.1797 0.6797 0.5000 x4  6 Cu 2.45-2.65, 2 Au 2.64
Au1 0.0000 0.0000 0.5000 x2  4 P 2.64, 2 Au 2.89


[2]
Computed, not measured: GaRe2Hg after structural relaxation at the PBE level of DFT.

Properties
Distance to the lowest polymorph of the same formula = 83 kJ/mol of formula units
ΔH_f (0 K) = 1097.6 meV/atom
V = 17.71 Å³/atom

Cell: 7.3815 7.3815 5.2013 Å, 90.00 90.00 90.00°
With the nearest neighbours (Å) after each atom.
Space group I-42d (No. 122)
Unique sites:
Ga1 0.0000 0.0000 0.0000 x4  4 Re 2.51, 2 Hg 2.60
Re1 0.2135 0.2500 0.1250 x8  2 Ga 2.51, 2 Re 2.66
Hg1 0.0000 0.0000 0.5000 x4  2 Ga 2.60, 4 Re 2.88


[3]
Computed, not measured: NaSn6Se8 after structural relaxation at the PBE level of DFT.

Properties
E_form (uncorrected) = -0.4202 eV per atom
V = 28.38 Å³/atom

Cell: 10.6903 10.6903 4.3005 Å, 90.00 90.00 120.00°
With the nearest neighbours (Å) after each atom.
Space group P-3 (No. 147)
Unique sites:
Na1 0.0000 0.0000 0.0000 x1  6 Se 3.34
Sn1 0.1366 0.6743 0.2503 x6  5 Se 2.76-3.05
Se1 0.0272 0.3091 0.2472 x6  3 Sn 2.76-2.84
Se2 0.3333 0.6667 0.7538 x2  6 Sn 3.03-3.05


Calculated values (eV/atom) of total DFT energy (no corrections) for the records, taken in order: -4.193; -5.959; -3.968.